Entry 1:
{"formula": "YEr2In", "functional": "PBE", "state": "relaxed", "lattice_angstrom": [[4.810, 0.000, 0.000], [0.000, 4.810, 0.000], [0.000, 0.000, 4.823]], "species": ["Y", "Er", "Er", "In"], "fractional_positions": [[0.000, 0.000, 0.000], [0.000, 0.500, 0.500], [0.500, 0.000, 0.500], [0.500, 0.500, 0.000]]}



Entry 2:
{"formula": "YErIn", "functional": "PBE", "state": "relaxed", "lattice_angstrom": [[0.000, 3.647, 3.647], [3.647, 0.000, 3.647], [3.647, 3.647, 0.000]], "species": ["Y", "Er", "In"], "fractional_positions": [[0.000, 0.000, 0.000], [0.500, 0.500, 0.500], [0.750, 0.750, 0.750]], "de_polymorph_mev_per_atom": 0}



Entry 3:
{"formula": "ErZr2In", "functional": "PBE", "state": "relaxed", "lattice_angstrom": [[4.559, 0.000, 0.000], [0.000, 4.559, 0.000], [0.000, 0.000, 4.555]], "species": ["Er", "Zr", "Zr", "In"], "fractional_positions": [[0.000, 0.000, 0.000], [0.000, 0.500, 0.500], [0.500, 0.000, 0.500], [0.500, 0.500, 0.000]]}



Entry 4:
{"formula": "Er2ZrIn", "functional": "PBE", "state": "relaxed", "lattice_angstrom": [[4.658, 0.000, 0.000], [0.000, 4.658, 0.000], [0.000, 0.000, 4.673]], "species": ["Er", "Er", "Zr", "In"], "fractional_positions": [[0.000, 0.500, 0.000], [0.500, 0.000, 0.000], [0.000, 0.000, 0.500], [0.500, 0.500, 0.500]]}



Entry 5:
{"formula": "ErZrIn", "functional": "PBE", "state": "relaxed", "lattice_angstrom": [[0.000, 3.505, 3.505], [3.505, 0.000, 3.505], [3.505, 3.505, 0.000]], "species": ["Er", "Zr", "In"], "fractional_positions": [[0.000, 0.000, 0.000], [0.500, 0.500, 0.500], [0.250, 0.250, 0.250]], "de_polymorph_mev_per_atom": 0}



Entry 6:
{"formula": "ErIr", "functional": "PBE", "state": "relaxed", "lattice_angstrom": [[3.646, 0.000, 0.000], [-1.823, 3.158, 0.000], [0.000, 0.000, 3.714]], "species": ["Er", "Ir"], "fractional_positions": [[0.000, 0.000, 0.000], [0.667, 0.333, 0.500]], "formation_enthalpy_0k_mev_per_atom": -402}



Entry 7:
{"formula": "ErIr", "functional": "PBE", "state": "relaxed", "lattice_angstrom": [[3.386, 0.000, 0.000], [0.000, 3.386, 0.000], [0.000, 0.000, 3.386]], "species": ["Er", "Ir"], "fractional_positions": [[0.000, 0.000, 0.000], [0.500, 0.500, 0.500]], "formation_enthalpy_0k_mev_per_atom": -887}



Entry 8:
{"formula": "Er8Ir", "functional": "PBE", "state": "relaxed", "lattice_angstrom": [[8.941, 0.000, 0.000], [-4.471, 7.743, 0.000], [0.000, 0.000, 3.671]], "species": ["Er", "Er", "Er", "Er", "Er", "Er", "Er", "Er", "Ir"], "fractional_positions": [[0.000, 0.241, 0.000], [0.000, 0.616, 0.500], [0.241, 0.000, 0.000], [0.333, 0.667, 0.000], [0.384, 0.384, 0.500], [0.616, 0.000, 0.500], [0.667, 0.333, 0.000], [0.759, 0.759, 0.000], [0.000, 0.000, 0.500]], "formation_enthalpy_0k_mev_per_atom": -235}



So what do the calculations give for E? Going down the list: -19.389 -14.108 -25.183 -21.207 -15.384 -14.221 -15.193 -47.479 eV per cell.